(1)
A relaxed TcRhN2O crystal, computed with PBE-GGA.

Properties
E_form (uncorrected) = 691.8 meV/atom
Uncorrected energy = -7.174 eV per atom

Cell and atoms, written as CIF:
```
data_TcRhN2O
_cell_length_a 3.907
_cell_length_b 3.907
_cell_length_c 3.819
_cell_angle_alpha 90.00
_cell_angle_beta 90.00
_cell_angle_gamma 90.00
_space_group_name_H-M_alt 'P 4/m m m'
_space_group_IT_number 123
_space_group_name_Hall '-P 4 2'
loop_
_atom_site_label
_atom_site_type_symbol
_atom_site_fract_x
_atom_site_fract_y
_atom_site_fract_z
Tc1 Tc 0.000 0.000 0.000
Rh1 Rh 0.500 0.500 0.500
N1 N 0.000 0.500 0.000
O1 O 0.000 0.000 0.500
```

(2)
A relaxed TcRh2NO crystal, computed with PBE-GGA.

Properties
E_form (uncorrected) = 1487.7 meV/atom
Uncorrected energy = -6.183 eV per atom

Cell and atoms, written as CIF:
```
data_TcRh2NO
_cell_length_a 4.738
_cell_length_b 4.738
_cell_length_c 3.657
_cell_angle_alpha 90.00
_cell_angle_beta 90.00
_cell_angle_gamma 90.00
_space_group_name_H-M_alt 'P 4/m m m'
_space_group_IT_number 123
_space_group_name_Hall '-P 4 2'
loop_
_atom_site_label
_atom_site_type_symbol
_atom_site_fract_x
_atom_site_fract_y
_atom_site_fract_z
Tc1 Tc 0.000 0.000 0.000
Rh1 Rh 0.000 0.500 0.000
N1 N 0.500 0.500 0.500
O1 O 0.000 0.000 0.500
```

(3)
A relaxed TcRhN2O crystal, computed with PBE-GGA.

Properties
E_form (uncorrected) = 1244.1 meV/atom
Uncorrected energy = -6.621 eV per atom

Cell and atoms, written as CIF:
```
data_TcRhN2O
_cell_length_a 3.866
_cell_length_b 3.866
_cell_length_c 3.932
_cell_angle_alpha 90.00
_cell_angle_beta 90.00
_cell_angle_gamma 90.00
_space_group_name_H-M_alt 'P 4/m m m'
_space_group_IT_number 123
_space_group_name_Hall '-P 4 2'
loop_
_atom_site_label
_atom_site_type_symbol
_atom_site_fract_x
_atom_site_fract_y
_atom_site_fract_z
Tc1 Tc 0.000 0.000 0.000
Rh1 Rh 0.500 0.500 0.500
N1 N 0.000 0.500 0.500
O1 O 0.500 0.500 0.000
```

(4)
A relaxed Te2RhNO crystal, computed with PBE-GGA.

Properties
Distance to the lowest polymorph of the same formula = 0.0 meV/atom
E_form (uncorrected) = 797.7 meV/atom
Uncorrected energy = -4.586 eV per atom

Cell and atoms, written as CIF:
```
data_Te2RhNO
_cell_length_a 5.373
_cell_length_b 5.373
_cell_length_c 3.579
_cell_angle_alpha 90.00
_cell_angle_beta 90.00
_cell_angle_gamma 90.00
_space_group_name_H-M_alt 'P 4/m m m'
_space_group_IT_number 123
_space_group_name_Hall '-P 4 2'
loop_
_atom_site_label
_atom_site_type_symbol
_atom_site_fract_x
_atom_site_fract_y
_atom_site_fract_z
Te1 Te 0.000 0.500 0.000
Rh1 Rh 0.000 0.000 0.000
N1 N 0.000 0.000 0.500
O1 O 0.500 0.500 0.500
```

(5)
A relaxed Te2RhNO crystal, computed with PBE-GGA.

Properties
Distance to the lowest polymorph of the same formula = 276.3 meV/atom
E_form (uncorrected) = 1074.0 meV/atom
Uncorrected energy = -4.310 eV per atom

Cell and atoms, written as CIF:
```
data_Te2RhNO
_cell_length_a 4.760
_cell_length_b 4.760
_cell_length_c 3.612
_cell_angle_alpha 90.00
_cell_angle_beta 90.00
_cell_angle_gamma 90.00
_space_group_name_H-M_alt 'P 4/m m m'
_space_group_IT_number 123
_space_group_name_Hall '-P 4 2'
loop_
_atom_site_label
_atom_site_type_symbol
_atom_site_fract_x
_atom_site_fract_y
_atom_site_fract_z
Te1 Te 0.000 0.500 0.000
Rh1 Rh 0.000 0.000 0.500
N1 N 0.500 0.500 0.500
O1 O 0.500 0.500 0.000
```

(6)
A relaxed TiRhN2O crystal, computed with PBE-GGA.

Properties
E_form (uncorrected) = 217.3 meV/atom
Uncorrected energy = -7.154 eV per atom

Cell and atoms, written as CIF:
```
data_TiRhN2O
_cell_length_a 3.965
_cell_length_b 3.965
_cell_length_c 3.727
_cell_angle_alpha 90.00
_cell_angle_beta 90.00
_cell_angle_gamma 90.00
_space_group_name_H-M_alt 'P 4/m m m'
_space_group_IT_number 123
_space_group_name_Hall '-P 4 2'
loop_
_atom_site_label
_atom_site_type_symbol
_atom_site_fract_x
_atom_site_fract_y
_atom_site_fract_z
Ti1 Ti 0.000 0.000 0.000
Rh1 Rh 0.500 0.500 0.500
N1 N 0.000 0.500 0.000
O1 O 0.000 0.000 0.500
```

(7)
A relaxed TiRhN2O crystal, computed with PBE-GGA.

Properties
E_form (uncorrected) = 457.6 meV/atom
Uncorrected energy = -6.913 eV per atom

Cell and atoms, written as CIF:
```
data_TiRhN2O
_cell_length_a 3.822
_cell_length_b 3.822
_cell_length_c 3.898
_cell_angle_alpha 90.00
_cell_angle_beta 90.00
_cell_angle_gamma 90.00
_space_group_name_H-M_alt 'P 4/m m m'
_space_group_IT_number 123
_space_group_name_Hall '-P 4 2'
loop_
_atom_site_label
_atom_site_type_symbol
_atom_site_fract_x
_atom_site_fract_y
_atom_site_fract_z
Ti1 Ti 0.000 0.000 0.000
Rh1 Rh 0.500 0.500 0.500
N1 N 0.000 0.500 0.500
O1 O 0.500 0.500 0.000
```

Number 1: ρ 6.98 g cm⁻³. Number 2: ρ 6.75 g cm⁻³. Number 3: ρ 6.92 g cm⁻³. Number 4: ρ 6.24 g cm⁻³. Number 5: ρ 7.87 g cm⁻³. Number 6: ρ 5.52 g cm⁻³. Number 7: ρ 5.68 g cm⁻³.